# 1
Material: RbNiO2F
Method: DFT, GGA+U
State: optimized geometry

Cell: 4.342 4.342 4.788 Å, 90.00 90.00 90.00°
Atoms (fractional coordinates):
1 Rb 0.000 0.000 0.000
2 O 0.000 0.500 0.000
3 O 0.500 0.000 0.000
4 F 0.000 0.000 0.500
5 Ni 0.500 0.500 0.500

Output
The value obtained for the density of states at the Fermi level is 0.37 states/eV per atom.

# 2
Material: MnFeGeO4
Method: DFT, GGA+U
State: optimized geometry

Cell: 5.360 5.360 6.521 Å, 90.00 90.00 113.92°
Atoms (fractional coordinates):
1 O 0.731 0.269 0.970
2 O 0.740 0.789 0.750
3 O 0.731 0.269 0.530
4 O 0.269 0.731 0.470
5 O 0.789 0.740 0.250
6 O 0.260 0.211 0.250
7 O 0.211 0.260 0.750
8 O 0.269 0.731 0.030
9 Fe 0.500 0.500 0.000
10 Fe 0.500 0.500 0.500
11 Ge 0.845 0.155 0.750
12 Ge 0.155 0.845 0.250
13 Mn 0.165 0.835 0.750
14 Mn 0.835 0.165 0.250

no.,E (eV per atom),size of the total moment (μB per atom)
1,-2.390,0.40
2,-6.956,1.29